# 1
Compound: PmDy2Rh2
Source: Alexandria
Functional: GGA-PBE
Structure: optimized geometry

energy above the lowest structure with this stoichiometry = 0.0 meV per atom
DOS(E_F) = 7.5 states/eV per cell
density = 9.5 g/cm3
symmetry = Cmcm, No. 63
E = -6.326 eV per atom
energy of formation = -0.59 eV/atom

POSCAR file:
```
PmDy2Rh2
1.0
1.9210 -13.1856 0.0000
1.9210 13.1856 0.0000
0.0000 0.0000 4.6825
Pm Dy Rh
2 4 4
direct
0.1364 0.8636 0.7500 Pm
0.8636 0.1364 0.2500 Pm
0.2354 0.7646 0.2500 Dy
0.4487 0.5513 0.7500 Dy
0.5513 0.4487 0.2500 Dy
0.7646 0.2354 0.7500 Dy
0.0321 0.9679 0.7500 Rh
0.3380 0.6620 0.7500 Rh
0.6620 0.3380 0.2500 Rh
0.9679 0.0321 0.2500 Rh
```

***

# 2
Compound: ScFeHg2
Source: Alexandria
Functional: GGA-PBE
Structure: optimized geometry

DOS(E_F) = 10.2 states/eV per cell
density = 9.7 g/cm3
symmetry = I-42d, No. 122
E = -3.529 eV per atom
energy of formation = 0.32 eV/atom

POSCAR file:
```
ScFeHg2
1.0
-2.0720 2.0720 10.0124
2.0720 -2.0720 10.0124
2.0720 2.0720 -10.0124
Sc Fe Hg
2 2 4
direct
0.0000 0.0000 0.0000 Sc
0.7500 0.2500 0.5000 Sc
0.2500 0.7500 0.5000 Fe
0.5000 0.5000 0.0000 Fe
0.1407 0.6250 0.0157 Hg
0.3750 0.3907 0.5157 Hg
0.6093 0.1250 0.9843 Hg
0.8750 0.8593 0.4843 Hg
```

***

# 3
Compound: Ba4HoPd3O12
Source: Alexandria
Functional: GGA-PBE
Structure: optimized geometry

formation energy (no corrections) = -162.8 kJ/mol of atoms
DOS(E_F) = 21.0 states/eV per cell
density = 7.0 g/cm3
symmetry = Im-3m, No. 229
E = -6.055 eV per atom

POSCAR file:
```
Ba4HoPd3O12
1.0
-4.1732 4.1732 4.1732
4.1732 -4.1732 4.1732
4.1732 4.1732 -4.1732
Ba Ho Pd O
4 1 3 12
direct
0.0000 0.0000 0.5000 Ba
0.0000 0.5000 0.0000 Ba
0.5000 0.0000 0.0000 Ba
0.5000 0.5000 0.5000 Ba
0.0000 0.0000 0.0000 Ho
0.0000 0.5000 0.5000 Pd
0.5000 0.0000 0.5000 Pd
0.5000 0.5000 0.0000 Pd
0.0000 0.2618 0.2618 O
0.0000 0.7382 0.7382 O
0.2500 0.5000 0.7500 O
0.2500 0.7500 0.5000 O
0.2618 0.0000 0.2618 O
0.2618 0.2618 0.0000 O
0.5000 0.2500 0.7500 O
0.5000 0.7500 0.2500 O
0.7382 0.0000 0.7382 O
0.7382 0.7382 0.0000 O
0.7500 0.2500 0.5000 O
0.7500 0.5000 0.2500 O
```

***

# 4
Compound: TaHg4As
Source: Alexandria
Functional: GGA-PBE
Structure: optimized geometry

DOS(E_F) = 4.4 states/eV per cell
density = 13.0 g/cm3
symmetry = F-43m, No. 216
E = -2.119 eV per atom
energy of formation = 0.83 eV/atom

POSCAR file:
```
TaHg4As
1.0
0.0000 4.0696 4.0696
4.0696 0.0000 4.0696
4.0696 4.0696 0.0000
Ta Hg As
1 4 1
direct
0.0000 0.0000 0.0000 Ta
0.3748 0.3748 0.3748 Hg
0.3748 0.3748 0.8758 Hg
0.3748 0.8758 0.3748 Hg
0.8758 0.3748 0.3748 Hg
0.7500 0.7500 0.7500 As
```

***

# 5
Compound: PmSmPu2Bi4
Source: Alexandria
Functional: GGA-PBE
Structure: optimized geometry

DOS(E_F) = 32.9 states/eV per cell
density = 10.1 g/cm3
symmetry = I4/mmm, No. 139
E = -7.325 eV per atom
energy of formation = -0.62 eV/atom

POSCAR file:
```
PmSmPu2Bi4
1.0
-3.2224 3.2224 6.4374
3.2224 -3.2224 6.4374
3.2224 3.2224 -6.4374
Pm Sm Pu Bi
1 1 2 4
direct
0.0000 0.0000 0.0000 Pm
0.5000 0.5000 0.0000 Sm
0.2500 0.7500 0.5000 Pu
0.7500 0.2500 0.5000 Pu
0.0000 0.5000 0.5000 Bi
0.2505 0.2505 0.0000 Bi
0.5000 0.0000 0.5000 Bi
0.7495 0.7495 0.0000 Bi
```

***

# 6
Compound: AlAs2SeBr
Source: Alexandria
Functional: GGA-PBE
Structure: optimized geometry

energy above the lowest structure with this stoichiometry = 315.9 meV per atom
formation energy (no corrections) = 69.9 kJ/mol of atoms
DOS(E_F) = 4.2 states/eV per cell
density = 3.9 g/cm3
symmetry = P4/mmm, No. 123
E = -2.915 eV per atom

POSCAR file:
```
AlAs2SeBr
1.0
5.0728 0.0000 0.0000
0.0000 5.0728 0.0000
0.0000 0.0000 5.5116
Al As Se Br
1 2 1 1
direct
0.0000 0.0000 0.0000 Al
0.0000 0.5000 0.5000 As
0.5000 0.0000 0.5000 As
0.5000 0.5000 0.5000 Se
0.5000 0.5000 0.0000 Br
```

***

# 7
Compound: Pm5Nd4Y3
Source: Alexandria
Functional: GGA-PBE
Structure: optimized geometry

DOS(E_F) = 20.5 states/eV per cell
density = 6.2 g/cm3
symmetry = C2/m, No. 12
E = -4.971 eV per atom
energy of formation = 0.21 eV/atom

POSCAR file:
```
Pm5Nd4Y3
1.0
8.2192 -3.0041 0.0000
8.2192 3.0041 0.0000
-4.2682 0.0000 8.5037
Pm Nd Y
5 4 3
direct
0.0000 0.0000 0.0000 Pm
0.3280 0.3280 0.6111 Pm
0.4268 0.4268 0.2990 Pm
0.5732 0.5732 0.7010 Pm
0.6720 0.6720 0.3889 Pm
0.0834 0.0834 0.4443 Nd
0.2173 0.2173 0.8790 Nd
0.7827 0.7827 0.1210 Nd
0.9166 0.9166 0.5557 Nd
0.2088 0.2088 0.2284 Y
0.5000 0.5000 0.0000 Y
0.7912 0.7912 0.7716 Y
```

***

# 8
Compound: Mg2TeAs
Source: Alexandria
Functional: GGA-PBE
Structure: optimized geometry

energy above the lowest structure with this stoichiometry = 324.1 meV per atom
formation energy (no corrections) = -19.9 kJ/mol of atoms
DOS(E_F) = 2.4 states/eV per cell
density = 4.6 g/cm3
symmetry = Fm-3m, No. 225
E = -2.951 eV per atom

POSCAR file:
```
Mg2TeAs
1.0
0.0000 3.5613 3.5613
3.5613 0.0000 3.5613
3.5613 3.5613 0.0000
Mg Te As
2 1 1
direct
0.2500 0.2500 0.2500 Mg
0.7500 0.7500 0.7500 Mg
0.0000 0.0000 0.0000 Te
0.5000 0.5000 0.5000 As
```

***

Which formula does entry 8 have? Mg2TeAs

***

Which formula does entry 8 have? Mg2TeAs

***

What is the DOS(E_F) in the seventh record? 20.5 states/eV per cell

***

density of number 4 (TaHg4As)? 13.0 g/cm3